Compound: MoPtAu2
Source: the Alexandria database
Functional: GGA-PBE
Structure: relaxed

abc: 2.794 4.886 5.016
angles: 90.00 90.00 90.00
Positions (direct):
Mo 0.000 0.000 0.000
Pt 0.500 0.500 0.000
Au 0.000 0.500 0.500
Au 0.500 0.000 0.500

Output
Formation energy ... 1.00 eV/f.u.
Energy relative to the lowest polymorph listed for this composition ... 307 meV per atom

Compound: Mo2PtAu
Source: the Alexandria database
Functional: GGA-PBE
Structure: relaxed

abc: 9.582 9.582 9.582
angles: 16.86 16.86 16.86
Positions (direct):
Mo 0.248 0.248 0.248
Mo 0.752 0.752 0.752
Pt 0.500 0.500 0.500
Au 0.000 0.000 0.000

Output
Formation energy ... 0.49 eV/f.u.
Energy relative to the lowest polymorph listed for this composition ... 156 meV per atom

Compound: MoPtAu
Source: the Alexandria database
Functional: GGA-PBE
Structure: relaxed

abc: 6.426 6.426 6.426
angles: 154.52 154.52 36.35
Positions (direct):
Mo 0.000 0.000 0.000
Pt 0.351 0.351 0.000
Au 0.669 0.669 0.000

Output
Formation energy ... -0.24 eV/f.u.
Energy relative to the lowest polymorph listed for this composition ... 46 meV per atom

Compound: MoPtAu
Source: the Alexandria database
Functional: GGA-PBE
Structure: relaxed

abc: 4.332 4.332 4.332
angles: 60.00 60.00 60.00
Positions (direct):
Mo 0.000 0.000 0.000
Pt 0.750 0.750 0.750
Au 0.500 0.500 0.500

Output
Formation energy ... 1.16 eV/f.u.
Energy relative to the lowest polymorph listed for this composition ... 509 meV per atom

Compound: Mo2PtAu
Source: the Alexandria database
Functional: GGA-PBE
Structure: relaxed

abc: 5.049 5.049 2.749
angles: 90.00 90.00 114.17
Positions (direct):
Mo 0.000 0.500 0.000
Mo 0.500 0.000 0.000
Pt 0.000 0.000 0.500
Au 0.500 0.500 0.500

Output
Formation energy ... 0.10 eV/f.u.
Energy relative to the lowest polymorph listed for this composition ... 57 meV per atom

Compound: MoPtAu2
Source: the Alexandria database
Functional: GGA-PBE
Structure: relaxed

abc: 2.843 2.843 8.301
angles: 90.00 90.00 90.00
Positions (direct):
Mo 0.000 0.000 0.000
Pt 0.500 0.500 0.218
Au 0.000 0.000 0.481
Au 0.500 0.500 0.749

Output
Formation energy ... -0.23 eV/f.u.
Energy relative to the lowest polymorph listed for this composition ... 0 meV per atom

Compound: MoPtAu2
Source: the Alexandria database
Functional: GGA-PBE
Structure: relaxed

abc: 4.905 4.905 5.103
angles: 98.01 98.01 33.37
Positions (direct):
Mo 0.000 0.000 0.000
Pt 0.259 0.259 0.799
Au 0.505 0.505 0.515
Au 0.749 0.749 0.274

Output
Formation energy ... 0.37 eV/f.u.
Energy relative to the lowest polymorph listed for this composition ... 150 meV per atom

Compound: Mo2PtAu
Source: the Alexandria database
Functional: GGA-PBE
Structure: relaxed

abc: 2.746 4.226 5.537
angles: 90.00 90.00 90.00
Positions (direct):
Mo 0.000 0.000 0.233
Mo 0.000 0.000 0.767
Pt 0.500 0.500 0.000
Au 0.500 0.500 0.500

Output
Formation energy ... 0.05 eV/f.u.
Energy relative to the lowest polymorph listed for this composition ... 46 meV per atom

Compound: MoPtAu2
Source: the Alexandria database
Functional: GGA-PBE
Structure: relaxed

abc: 4.101 4.101 4.109
angles: 90.00 90.00 90.00
Positions (direct):
Mo 0.000 0.000 0.000
Pt 0.500 0.500 0.000
Au 0.000 0.500 0.500
Au 0.500 0.000 0.500

Output
Formation energy ... 1.36 eV/f.u.
Energy relative to the lowest polymorph listed for this composition ... 397 meV per atom

Compound: MoPtAu2
Source: the Alexandria database
Functional: GGA-PBE
Structure: relaxed

abc: 4.839 4.839 2.901
angles: 90.00 90.00 90.00
Positions (direct):
Mo 0.000 0.000 0.000
Pt 0.500 0.500 0.000
Au 0.000 0.500 0.500
Au 0.500 0.000 0.500

Output
Formation energy ... 1.51 eV/f.u.
Energy relative to the lowest polymorph listed for this composition ... 435 meV per atom

Compound: Mo2PtAu
Source: the Alexandria database
Functional: GGA-PBE
Structure: relaxed

abc: 4.684 2.926 4.935
angles: 90.00 107.36 90.00
Positions (direct):
Mo 0.000 0.000 0.000
Mo 0.500 0.500 0.000
Pt 0.000 0.500 0.500
Au 0.500 0.000 0.500

Output
Formation energy ... 0.58 eV/f.u.
Energy relative to the lowest polymorph listed for this composition ... 178 meV per atom

Compound: MoPtAu
Source: the Alexandria database
Functional: GGA-PBE
Structure: relaxed

abc: 4.564 4.564 2.710
angles: 90.00 90.00 120.00
Positions (direct):
Mo 0.000 0.000 0.000
Pt 0.667 0.333 0.500
Au 0.333 0.667 0.500

Output
Formation energy ... 0.11 eV/f.u.
Energy relative to the lowest polymorph listed for this composition ... 162 meV per atom

Compound: MoPt3Au
Source: the Alexandria database
Functional: GGA-PBE
Structure: relaxed

abc: 4.907 4.907 4.907
angles: 90.00 90.00 90.00
Positions (direct):
Mo 0.000 0.000 0.000
Pt 0.000 0.500 0.500
Pt 0.500 0.000 0.500
Pt 0.500 0.500 0.000
Au 0.500 0.500 0.500

Output
Formation energy ... 8.78 eV/f.u.
Energy relative to the lowest polymorph listed for this composition ... 551 meV per atom

Compound: MoPtAu
Source: the Alexandria database
Functional: GGA-PBE
Structure: relaxed

abc: 4.897 4.897 4.897
angles: 146.42 131.19 60.55
Positions (direct):
Mo 0.000 0.000 0.000
Pt 0.656 0.656 0.000
Au 0.331 0.331 0.000

Output
Formation energy ... -0.07 eV/f.u.
Energy relative to the lowest polymorph listed for this composition ... 99 meV per atom

Compound: MoPtAu2
Source: the Alexandria database
Functional: GGA-PBE
Structure: relaxed

abc: 2.820 4.061 5.819
angles: 90.00 90.00 90.00
Positions (direct):
Mo 0.000 0.000 0.000
Pt 0.000 0.000 0.500
Au 0.500 0.500 0.246
Au 0.500 0.500 0.754

Output
Formation energy ... 0.68 eV/f.u.
Energy relative to the lowest polymorph listed for this composition ... 226 meV per atom

Compound: MoPtAu2
Source: the Alexandria database
Functional: GGA-PBE
Structure: relaxed

abc: 5.190 5.190 2.790
angles: 90.00 90.00 116.56
Positions (direct):
Mo 0.000 0.000 0.000
Pt 0.500 0.500 0.000
Au 0.000 0.500 0.500
Au 0.500 0.000 0.500

Output
Formation energy ... 1.07 eV/f.u.
Energy relative to the lowest polymorph listed for this composition ... 325 meV per atom

Compound: Mo2PtAu
Source: the Alexandria database
Functional: GGA-PBE
Structure: relaxed

abc: 3.889 3.889 4.233
angles: 90.00 90.00 90.00
Positions (direct):
Mo 0.000 0.500 0.000
Mo 0.500 0.000 0.000
Pt 0.000 0.000 0.500
Au 0.500 0.500 0.500

Output
Formation energy ... 0.20 eV/f.u.
Energy relative to the lowest polymorph listed for this composition ... 83 meV per atom

Compound: Mo2PtAu
Source: the Alexandria database
Functional: GGA-PBE
Structure: relaxed

abc: 4.871 4.871 4.871
angles: 131.16 130.81 71.84
Positions (direct):
Mo 0.000 0.000 0.000
Mo 0.755 0.255 0.500
Pt 0.253 0.753 0.500
Au 0.504 0.504 0.000

Output
Formation energy ... 0.31 eV/f.u.
Energy relative to the lowest polymorph listed for this composition ... 111 meV per atom

Compound: MoPtAu2
Source: the Alexandria database
Functional: GGA-PBE
Structure: relaxed

abc: 4.897 4.897 4.897
angles: 130.30 130.30 72.93
Positions (direct):
Mo 0.000 0.000 0.000
Pt 0.250 0.750 0.500
Au 0.500 0.500 0.000
Au 0.750 0.250 0.500

Output
Formation energy ... 0.74 eV/f.u.
Energy relative to the lowest polymorph listed for this composition ... 243 meV per atom

Compound: Mo2PtAu
Source: the Alexandria database
Functional: GGA-PBE
Structure: relaxed

abc: 5.002 5.002 4.584
angles: 101.70 101.70 35.62
Positions (direct):
Mo 0.247 0.247 0.226
Mo 0.753 0.753 0.774
Pt 0.500 0.500 0.000
Au 0.000 0.000 0.500

Output
Formation energy ... 0.52 eV/f.u.
Energy relative to the lowest polymorph listed for this composition ... 161 meV per atom

Compound: MoPtAu
Source: the Alexandria database
Functional: GGA-PBE
Structure: relaxed

abc: 4.362 4.362 4.362
angles: 60.00 60.00 60.00
Positions (direct):
Mo 0.000 0.000 0.000
Pt 0.250 0.250 0.250
Au 0.750 0.750 0.750

Output
Formation energy ... 1.50 eV/f.u.
Energy relative to the lowest polymorph listed for this composition ... 623 meV per atom

Compound: MoPtAu2
Source: the Alexandria database
Functional: GGA-PBE
Structure: relaxed

abc: 4.571 4.571 4.571
angles: 60.00 60.00 60.00
Positions (direct):
Mo 0.000 0.000 0.000
Pt 0.250 0.250 0.250
Au 0.500 0.500 0.500
Au 0.750 0.750 0.750

Output
Formation energy ... 0.93 eV/f.u.
Energy relative to the lowest polymorph listed for this composition ... 290 meV per atom

Compound: Mo2PtAu
Source: the Alexandria database
Functional: GGA-PBE
Structure: relaxed

abc: 9.694 9.694 9.694
angles: 16.67 16.67 16.67
Positions (direct):
Mo 0.000 0.000 0.000
Mo 0.249 0.249 0.249
Pt 0.744 0.744 0.744
Au 0.498 0.498 0.498

Output
Formation energy ... 0.48 eV/f.u.
Energy relative to the lowest polymorph listed for this composition ... 152 meV per atom

Compound: Mo2PtAu
Source: the Alexandria database
Functional: GGA-PBE
Structure: relaxed

abc: 3.338 3.338 5.873
angles: 90.00 90.00 90.00
Positions (direct):
Mo 0.000 0.000 0.000
Mo 0.500 0.500 0.231
Pt 0.000 0.000 0.479
Au 0.500 0.500 0.734

Output
Formation energy ... 0.30 eV/f.u.
Energy relative to the lowest polymorph listed for this composition ... 108 meV per atom

Compound: MoPtAu2
Source: the Alexandria database
Functional: GGA-PBE
Structure: relaxed

abc: 5.719 5.719 5.719
angles: 151.62 129.26 59.16
Positions (direct):
Mo 0.000 0.000 0.000
Pt 0.500 0.500 0.000
Au 0.248 0.748 0.500
Au 0.752 0.252 0.500

Output
Formation energy ... 0.94 eV/f.u.
Energy relative to the lowest polymorph listed for this composition ... 293 meV per atom

Compound: Mo2PtAu
Source: the Alexandria database
Functional: GGA-PBE
Structure: relaxed

abc: 5.057 5.057 5.057
angles: 134.84 134.84 65.77
Positions (direct):
Mo 0.250 0.750 0.500
Mo 0.750 0.250 0.500
Pt 0.000 0.000 0.000
Au 0.500 0.500 0.000

Output
Formation energy ... 0.20 eV/f.u.
Energy relative to the lowest polymorph listed for this composition ... 83 meV per atom

Compound: MoPtAu2
Source: the Alexandria database
Functional: GGA-PBE
Structure: relaxed

abc: 4.892 4.892 4.892
angles: 130.20 130.20 73.08
Positions (direct):
Mo 0.000 0.000 0.000
Pt 0.500 0.500 0.000
Au 0.250 0.750 0.500
Au 0.750 0.250 0.500

Output
Formation energy ... 0.85 eV/f.u.
Energy relative to the lowest polymorph listed for this composition ... 269 meV per atom

Compound: MoPtAu
Source: the Alexandria database
Functional: GGA-PBE
Structure: relaxed

abc: 2.819 2.819 12.465
angles: 90.00 90.00 90.00
Positions (direct):
Mo 0.250 0.250 0.087
Mo 0.750 0.750 0.913
Pt 0.250 0.250 0.765
Pt 0.750 0.750 0.235
Au 0.250 0.250 0.411
Au 0.750 0.750 0.589

Output
Formation energy ... -0.37 eV/f.u.
Energy relative to the lowest polymorph listed for this composition ... 0 meV per atom

Compound: MoPtAu2
Source: the Alexandria database
Functional: GGA-PBE
Structure: relaxed

abc: 2.840 2.840 8.235
angles: 90.00 90.00 90.00
Positions (direct):
Mo 0.000 0.000 0.000
Pt 0.000 0.000 0.500
Au 0.500 0.500 0.246
Au 0.500 0.500 0.754

Output
Formation energy ... 0.52 eV/f.u.
Energy relative to the lowest polymorph listed for this composition ... 188 meV per atom

Compound: Mo2PtAu
Source: the Alexandria database
Functional: GGA-PBE
Structure: relaxed

abc: 2.776 4.565 5.040
angles: 90.00 90.00 90.00
Positions (direct):
Mo 0.000 0.000 0.000
Mo 0.000 0.500 0.308
Pt 0.500 0.500 0.820
Au 0.500 0.000 0.501

Output
Formation energy ... -0.13 eV/f.u.
Energy relative to the lowest polymorph listed for this composition ... 0 meV per atom

Compound: MoPtAu2
Source: the Alexandria database
Functional: GGA-PBE
Structure: relaxed

abc: 5.911 5.911 5.911
angles: 101.91 101.91 125.96
Positions (direct):
Mo 0.000 0.000 0.000
Mo 0.750 0.250 0.500
Pt 0.250 0.750 0.500
Pt 0.500 0.500 0.000
Au 0.122 0.625 0.997
Au 0.375 0.372 0.497
Au 0.628 0.125 0.003
Au 0.875 0.878 0.503

Output
Formation energy ... 2.60 eV/f.u.
Energy relative to the lowest polymorph listed for this composition ... 707 meV per atom